VASP calculation (PBE) on Er2CI after structural relaxation.

## Properties
formation energy without anion corrections	-2.96	eV per formula unit
DOS at the Fermi energy	6.4	states/eV/cell
calculated volume	22.1	A^3/atom
uncorrected energy	-68.6	eV/cell

CIF file:
```
data_Er2CI
_chemical_formula_sum 'Er6 C3 I3'
_cell_length_a 3.7284
_cell_length_b 3.7284
_cell_length_c 22.0371
_cell_angle_alpha 90.00
_cell_angle_beta 90.00
_cell_angle_gamma 120.00
_symmetry_space_group_name_H-M 'R 3 m'
_symmetry_Int_Tables_number 160
_symmetry_space_group_name_Hall 'R 3 -2"'
loop_
_atom_site_label
_atom_site_fract_x
_atom_site_fract_y
_atom_site_fract_z
_atom_site_occupancy
Er1 0.0000 0.0000 0.0000 1
Er2 0.0000 0.0000 0.2206 1
C1 0.0000 0.0000 0.6081 1
I1 0.0000 0.0000 0.7772 1
```